# 1
Computed, not measured: AcYAl after structural relaxation at the PBE level of DFT.

Mass density   5.9 g/cm³
SG   P3m1, No. 156
DOS(E_F)   2.2 states/eV/f.u.
Formation energy from the elements   -0.075 eV per atom
Uncorrected energy   -14.5 eV per cell
Energy above the most stable polymorph in this dataset   0.27 eV per formula unit

```
data_AcYAl
_chemical_formula_sum 'Ac1 Y1 Al1'
_space_group_name_H-M_alt 'P 1'
_space_group_IT_number 1
_cell_length_a 5.285
_cell_length_b 5.285
_cell_length_c 3.959
_cell_angle_alpha 90.00
_cell_angle_beta 90.00
_cell_angle_gamma 120.00
loop_
_space_group_symop_operation_xyz
'x,y,z'
loop_
_atom_site_label
_atom_site_type_symbol
_atom_site_fract_x
_atom_site_fract_y
_atom_site_fract_z
Ac1 Ac 0.000 0.000 0.000
Y1 Y 0.667 0.333 0.471
Al1 Al 0.333 0.667 0.571
```

# 2
Computed, not measured: AcY2Al9 after structural relaxation at the PBE level of DFT.

Mass density   4.4 g/cm³
SG   R-3m, No. 166
DOS(E_F)   4.6 states/eV/f.u.
Formation energy from the elements   -0.388 eV per atom
Uncorrected energy   -55.4 eV per cell

```
data_AcY2Al9
_chemical_formula_sum 'Ac1 Y2 Al9'
_space_group_name_H-M_alt 'P 1'
_space_group_IT_number 1
_cell_length_a 9.406
_cell_length_b 9.406
_cell_length_c 9.406
_cell_angle_alpha 35.20
_cell_angle_beta 35.20
_cell_angle_gamma 35.20
loop_
_space_group_symop_operation_xyz
'x,y,z'
loop_
_atom_site_label
_atom_site_type_symbol
_atom_site_fract_x
_atom_site_fract_y
_atom_site_fract_z
Ac1 Ac 0.000 0.000 0.000
Y1 Y 0.142 0.142 0.142
Y2 Y 0.858 0.858 0.858
Al1 Al 0.076 0.589 0.589
Al2 Al 0.336 0.336 0.336
Al3 Al 0.411 0.411 0.924
Al4 Al 0.411 0.924 0.411
Al5 Al 0.500 0.500 0.500
Al6 Al 0.589 0.076 0.589
Al7 Al 0.589 0.589 0.076
Al8 Al 0.664 0.664 0.664
Al9 Al 0.924 0.411 0.411
```